VASP calculation (PBE) on a relaxed Tb2Dy4HoSc crystal.

The space group is P4/mmm (No. 123) and the conventional cell measures 4.967, 4.967 and 9.901 Å, with angles of 90.00, 90.00 and 90.00 degrees. Symmetry generates all atoms from Tb at (0.000, 0.000, 0.000), Tb at (0.500, 0.500, 0.500), Dy at (0.000, 0.500, 0.245), Ho at (0.000, 0.000, 0.500) and Sc at (0.500, 0.500, 0.000).

For the total energy, the calculation gives -4.793 eV per atom. The total moment comes out at 0.0 Bohr magnetons per cell. The value obtained for the formation energy is 0.24 eV/f.u.

=====

VASP calculation (PBE) on a relaxed Zr2ZnO2 crystal.

The space group is I4/mmm (No. 139) and the conventional cell measures 3.538, 3.538 and 12.345 Å, with angles of 90.00, 90.00 and 90.00 degrees. Symmetry generates all atoms from Zr at (0.000, 0.000, 0.150), Zn at (0.000, 0.000, 0.500) and O at (0.000, 0.500, 0.250).

For the total energy, the calculation gives -7.573 eV per atom. For the formation energy (no corrections), the calculation gives -1.9153 eV per atom. The total moment comes out at 0.0 Bohr magnetons per cell.

=====

Q: What is the total moment in the first record?
A: 0.0 Bohr magnetons per cell